Material: Cs3AcPu2Se6
Method: DFT, PBE-GGA
State: relaxed

The magnetic moment is 0.833 μB per atom. Its uncorrected formation energy is -1.54 eV/atom. The raw total energy is -6.229 eV per atom.

It has space group C2/m (No. 12), with a = 7.7028 Å, b = 13.3400 Å, c = 8.7628 Å, α = 90.00°, β = 107.05° and γ = 90.00°. Symmetry generates all atoms from Cs at (0.0000, 0.0000, 0.0000), Cs at (0.0000, 0.3359, 0.0000), Ac at (0.0000, 0.5000, 0.5000), Pu at (0.0000, 0.1669, 0.5000), Se at (0.2128, 0.0000, 0.6876) and Se at (0.2379, 0.3251, 0.6887).